{
  "formula": "TlSiTc2",
  "functional": "GGA-PBE",
  "state": "optimized geometry",
  "dos_ef_per_ev_cell": 3.676,
  "volume_a3_per_cell": 65.14,
  "polymorph_energy_mev_per_atom": 165,
  "rho_g_cm3": 10.9,
  "magmom_total_mub_per_atom": 0.00,
  "e_tot_ev_per_atom": -6.830,
  "formation_energy_uncorrected_mev_per_atom": 301,
  "cell": [[1.505, 0.869, 8.299], [-1.505, 0.869, 8.299], [0.000, -1.738, 8.299]],
  "species": ["Tl", "Si", "Tc", "Tc"],
  "fractional_positions": [[0.000, 0.000, 0.000], [0.500, 0.500, 0.500], [0.239, 0.239, 0.239], [0.761, 0.761, 0.761]]
}

=====

{
  "formula": "KInCl",
  "functional": "GGA-PBE",
  "state": "optimized geometry",
  "dos_ef_per_ev_cell": 1.265,
  "volume_a3_per_cell": 102.10,
  "polymorph_energy_mev_per_atom": 84,
  "rho_g_cm3": 3.1,
  "magmom_total_mub_per_atom": 0.00,
  "e_tot_ev_per_atom": -2.646,
  "formation_energy_uncorrected_mev_per_atom": -752,
  "cell": [[4.045, 0.000, 0.000], [-2.022, 3.503, 0.000], [0.000, 0.000, 7.207]],
  "species": ["K", "In", "Cl"],
  "fractional_positions": [[0.000, 0.000, 0.000], [0.333, 0.667, 0.585], [0.667, 0.333, 0.254]]
}

=====

{
  "formula": "CuPd8Pt6",
  "functional": "GGA-PBE",
  "state": "optimized geometry",
  "dos_ef_per_ev_cell": 34.256,
  "volume_a3_per_cell": 253.94,
  "polymorph_energy_mev_per_atom": 37,
  "rho_g_cm3": 13.6,
  "magmom_total_mub_per_atom": 0.00,
  "e_tot_ev_per_atom": -5.265,
  "ef_ev_per_atom": 0.19,
  "cell": [[7.411, 0.000, 0.000], [-3.705, 6.418, 0.000], [0.000, 0.000, 5.339]],
  "species": ["Cu", "Pd", "Pd", "Pd", "Pd", "Pd", "Pd", "Pd", "Pd", "Pt", "Pt", "Pt", "Pt", "Pt", "Pt"],
  "fractional_positions": [[0.000, 0.000, 0.000], [0.036, 0.353, 0.398], [0.317, 0.964, 0.398], [0.333, 0.667, 0.763], [0.353, 0.317, 0.602], [0.647, 0.683, 0.398], [0.667, 0.333, 0.237], [0.683, 0.036, 0.602], [0.964, 0.647, 0.602], [0.032, 0.678, 0.104], [0.322, 0.354, 0.104], [0.354, 0.032, 0.896], [0.646, 0.968, 0.104], [0.678, 0.646, 0.896], [0.968, 0.322, 0.896]]
}

=====

{
  "formula": "Li2TaW",
  "functional": "GGA-PBE",
  "state": "optimized geometry",
  "dos_ef_per_ev_cell": 3.003,
  "volume_a3_per_cell": 65.97,
  "polymorph_energy_mev_per_atom": 374,
  "rho_g_cm3": 9.5,
  "magmom_total_mub_per_atom": 0.00,
  "e_tot_ev_per_atom": -6.548,
  "ef_ev_per_atom": 0.61,
  "cell": [[2.609, -4.851, 0.000], [2.609, 4.851, 0.000], [0.000, 0.000, 2.606]],
  "species": ["Li", "Li", "Ta", "W"],
  "fractional_positions": [[0.000, 0.500, 0.000], [0.500, 0.000, 0.000], [0.000, 0.000, 0.500], [0.500, 0.500, 0.500]]
}

=====

{
  "formula": "MnInMo3",
  "functional": "GGA-PBE",
  "state": "optimized geometry",
  "dos_ef_per_ev_cell": 5.475,
  "volume_a3_per_cell": 91.74,
  "polymorph_energy_mev_per_atom": 0,
  "rho_g_cm3": 8.3,
  "magmom_total_mub_per_atom": 0.00,
  "e_tot_ev_per_atom": -7.927,
  "ef_ev_per_atom": 0.95,
  "cell": [[4.510, 0.000, 0.000], [0.000, 4.510, 0.000], [0.000, 0.000, 4.510]],
  "species": ["Mn", "In", "Mo", "Mo", "Mo"],
  "fractional_positions": [[0.000, 0.000, 0.000], [0.500, 0.500, 0.500], [0.000, 0.000, 0.500], [0.000, 0.500, 0.000], [0.500, 0.000, 0.000]]
}

=====

{
  "formula": "NbWC3",
  "functional": "GGA-PBE",
  "state": "optimized geometry",
  "dos_ef_per_ev_cell": 4.016,
  "volume_a3_per_cell": 67.08,
  "polymorph_energy_mev_per_atom": 794,
  "rho_g_cm3": 7.7,
  "magmom_total_mub_per_atom": 0.31,
  "e_tot_ev_per_atom": -7.695,
  "ef_ev_per_atom": 2.44,
  "cell": [[4.063, 0.000, 0.000], [0.000, 4.063, 0.000], [0.000, 0.000, 4.063]],
  "species": ["Nb", "W", "C", "C", "C"],
  "fractional_positions": [[0.000, 0.000, 0.000], [0.500, 0.500, 0.500], [0.000, 0.000, 0.500], [0.000, 0.500, 0.000], [0.500, 0.000, 0.000]]
}

=====

{
  "formula": "TlCuF3",
  "functional": "GGA-PBE",
  "state": "optimized geometry",
  "dos_ef_per_ev_cell": 6.530,
  "volume_a3_per_cell": 183.80,
  "rho_g_cm3": 5.9,
  "magmom_total_mub_per_atom": 0.20,
  "e_tot_ev_per_atom": -3.712,
  "formation_energy_uncorrected_mev_per_atom": -1297,
  "cell": [[-2.301, 2.301, 8.677], [2.301, -2.301, 8.677], [2.301, 2.301, -8.677]],
  "species": ["Tl", "Tl", "Cu", "Cu", "F", "F", "F", "F", "F", "F"],
  "fractional_positions": [[0.104, 0.104, 0.000], [0.896, 0.896, 0.000], [0.500, 0.500, 0.000], [0.750, 0.250, 0.500], [0.007, 0.507, 0.500], [0.090, 0.332, 0.757], [0.493, 0.993, 0.500], [0.575, 0.332, 0.243], [0.668, 0.425, 0.757], [0.668, 0.910, 0.243]]
}

=====

{
  "formula": "LaYZr2",
  "functional": "GGA-PBE",
  "state": "optimized geometry",
  "dos_ef_per_ev_cell": 5.211,
  "volume_a3_per_cell": 110.72,
  "polymorph_energy_mev_per_atom": 66,
  "rho_g_cm3": 6.2,
  "magmom_total_mub_per_atom": 0.00,
  "e_tot_ev_per_atom": -6.948,
  "ef_ev_per_atom": 0.17,
  "cell": [[3.343, 0.000, 0.000], [0.000, 3.343, 0.000], [0.000, 0.000, 9.907]],
  "species": ["La", "Y", "Zr", "Zr"],
  "fractional_positions": [[0.000, 0.000, 0.000], [0.000, 0.000, 0.500], [0.500, 0.500, 0.257], [0.500, 0.500, 0.743]]
}